# Li2TcF6

A geometry-optimized Li2TcF6 structure (PBE, Alexandria via LeMat-Bulk). Values from VASP.

Geometry as Quantum ESPRESSO input:
```
&SYSTEM
  ibrav = 0, nat = 18, ntyp = 3
/
ATOMIC_SPECIES
Li 6.94 Li.upf
Tc 98.00 Tc.upf
F 19.00 F.upf
CELL_PARAMETERS angstrom
4.754 0.000 0.000
0.000 4.754 0.000
0.000 0.000 9.258
ATOMIC_POSITIONS angstrom
Li 0.000 0.000 1.505
Li 0.000 0.000 7.753
Li 2.377 2.377 3.124
Li 2.377 2.377 6.134
Tc 0.000 0.000 4.629
Tc 2.377 2.377 0.000
F 0.925 0.925 3.156
F 0.925 0.925 6.102
F 0.982 0.982 0.000
F 1.395 3.358 4.629
F 1.452 3.301 1.473
F 1.452 3.301 7.785
F 3.301 1.452 1.473
F 3.301 1.452 7.785
F 3.358 1.395 4.629
F 3.772 3.772 0.000
F 3.829 3.829 3.156
F 3.829 3.829 6.102
```

Summary:
uncorrected formation energy: -2.547 eV/atom
N(E_F): 0.000 states/eV/atom
SG: P4_2/mnm